P.
Density functional theory data (GGA+U) for crystalline MnP2SO at its relaxed geometry.

abc: 4.034 4.034 4.670
angles: 90.00 90.00 90.00
Element x y z (fractional)
P: 0.000 0.500 0.000
P: 0.500 0.000 0.000
S: 0.000 0.000 0.500
Mn: 0.500 0.500 0.500
O: 0.000 0.000 0.000

Output
Total magnetic moment (Bohr magnetons per cell): 4.35

***

Q.
Density functional theory data (GGA+U) for crystalline MnP2SO at its relaxed geometry.

abc: 4.356 4.356 4.109
angles: 90.00 90.00 90.00
Element x y z (fractional)
P: 0.000 0.500 0.000
P: 0.500 0.000 0.000
S: 0.000 0.000 0.500
Mn: 0.000 0.000 0.000
O: 0.500 0.500 0.500

Output
Total magnetic moment (Bohr magnetons per cell): 0.00

***

What should be chosen as the most stable of them? Choose P.

***

P.
Density functional theory data (GGA+U) for crystalline MnP2SO at its relaxed geometry.

abc: 4.569 4.569 3.435
angles: 90.00 90.00 90.00
Element x y z (fractional)
P: 0.000 0.500 0.000
P: 0.500 0.000 0.000
S: 0.500 0.500 0.500
Mn: 0.000 0.000 0.000
O: 0.000 0.000 0.500

Output
Total magnetic moment (Bohr magnetons per cell): 0.05

***

Q.
Density functional theory data (GGA+U) for crystalline MnP2SO at its relaxed geometry.

abc: 4.771 4.771 3.394
angles: 90.00 90.00 90.00
Element x y z (fractional)
P: 0.000 0.500 0.000
P: 0.500 0.000 0.000
S: 0.000 0.000 0.000
Mn: 0.500 0.500 0.500
O: 0.000 0.000 0.500

Output
Total magnetic moment (Bohr magnetons per cell): 4.29

***

What should be chosen as the most stable of them? Choose Q.